## PrIn3NiRh (PBE-GGA)

Data for PrIn3NiRh after structural relaxation.

Lattice parameters (Å, degrees): 6.121 8.144 6.934 125.96 90.00 90.00
Positions (direct):
In (0.500, 0.249, 0.000)
In (0.750, 0.819, 0.639)
In (0.500, 0.751, 0.000)
In (0.250, 0.181, 0.361)
In (0.000, 0.751, 0.000)
In (0.000, 0.249, 0.000)
Pr (0.750, 0.296, 0.592)
Pr (0.250, 0.704, 0.408)
Ni (0.250, 0.946, 0.892)
Ni (0.750, 0.054, 0.108)
Rh (0.250, 0.416, 0.833)
Rh (0.750, 0.584, 0.167)

Calculated values
Energy of formation from the pure elements, eV per atom: -0.238
Total moment, μB per formula unit: 0.00
E, eV/atom: -4.5924

---

## PrZn2Cu3 (PBE-GGA)

Data for PrZn2Cu3 after structural relaxation.

Lattice parameters (Å, degrees): 5.080 6.386 6.386 98.15 90.00 90.00
Positions (direct):
Cu (0.750, 0.064, 0.064)
Cu (0.750, 0.089, 0.450)
Cu (0.250, 0.550, 0.911)
Cu (0.250, 0.936, 0.936)
Cu (0.250, 0.911, 0.550)
Cu (0.750, 0.450, 0.089)
Zn (0.000, 0.778, 0.222)
Zn (0.500, 0.778, 0.222)
Zn (0.000, 0.222, 0.778)
Zn (0.500, 0.222, 0.778)
Pr (0.750, 0.691, 0.691)
Pr (0.250, 0.309, 0.309)

Calculated values
Energy of formation from the pure elements, eV per atom: -0.205
Total moment, μB per formula unit: 0.00
E, eV/atom: -3.4746

---

## TbAl3PdPt (PBE-GGA)

Data for TbAl3PdPt after structural relaxation.

Lattice parameters (Å, degrees): 5.734 6.387 6.934 117.42 90.00 90.00
Positions (direct):
Al (0.000, 0.298, 0.000)
Al (0.000, 0.702, 0.000)
Al (0.250, 0.148, 0.296)
Al (0.500, 0.298, 0.000)
Al (0.750, 0.852, 0.704)
Al (0.500, 0.702, 0.000)
Tb (0.250, 0.716, 0.431)
Tb (0.750, 0.284, 0.569)
Pt (0.750, 0.645, 0.290)
Pt (0.250, 0.355, 0.710)
Pd (0.250, 0.935, 0.870)
Pd (0.750, 0.065, 0.130)

Calculated values
Energy of formation from the pure elements, eV per atom: -0.711
Total moment, μB per formula unit: 0.00
E, eV/atom: -5.2266

---

## AgO2F (PBE-GGA)

Data for AgO2F after structural relaxation.

Lattice parameters (Å, degrees): 5.312 5.312 4.432 90.00 90.00 96.63
Positions (direct):
O (0.791, 0.032, 0.788)
O (0.968, 0.209, 0.712)
O (0.032, 0.791, 0.212)
O (0.209, 0.968, 0.288)
F (0.377, 0.623, 0.750)
F (0.623, 0.377, 0.250)
Ag (0.282, 0.282, 0.000)
Ag (0.718, 0.718, 0.500)

Calculated values
ΔE to the lowest computed polymorph, eV per atom: 0.013
Formation energy (no corrections), meV per atom: -435.5
Total moment, μB per formula unit: 0.00
E, eV/atom: -4.0952

---

## PmNdTlPb (PBE-GGA)

Data for PmNdTlPb after structural relaxation.

Lattice parameters (Å, degrees): 5.532 5.532 5.532 60.00 60.00 60.00
Positions (direct):
Pb (0.500, 0.500, 0.500)
Pm (0.250, 0.250, 0.250)
Tl (0.000, 0.000, 0.000)
Nd (0.750, 0.750, 0.750)

Calculated values
Energy of formation from the pure elements, eV per atom: -0.427
Total moment, μB per formula unit: 0.00
E, eV/atom: -4.3249

---

## Rb3HgAu3 (PBE-GGA)

Data for Rb3HgAu3 after structural relaxation.

Lattice parameters (Å, degrees): 6.968 10.335 10.335 120.00 90.00 90.00
Positions (direct):
Rb (0.750, 0.351, 0.047)
Rb (0.250, 0.047, 0.696)
Rb (0.750, 0.696, 0.649)
Rb (0.250, 0.649, 0.953)
Rb (0.750, 0.953, 0.304)
Rb (0.250, 0.304, 0.351)
Au (0.250, 0.949, 0.320)
Au (0.250, 0.680, 0.630)
Au (0.750, 0.630, 0.949)
Au (0.250, 0.370, 0.051)
Au (0.750, 0.320, 0.370)
Au (0.750, 0.051, 0.680)
Hg (0.250, 0.667, 0.333)
Hg (0.750, 0.333, 0.667)

Calculated values
ΔE to the lowest computed polymorph, eV per atom: 0.064
Energy of formation from the pure elements, eV per atom: -0.222
Total moment, μB per formula unit: 0.00
E, eV/atom: -2.0841

---

## TlSbRh (PBE-GGA)

Data for TlSbRh after structural relaxation.

Lattice parameters (Å, degrees): 4.486 4.486 4.216 90.00 90.00 120.00
Positions (direct):
Sb (0.667, 0.333, 0.162)
Tl (0.333, 0.667, 0.664)
Rh (0.000, 0.000, 0.174)

Calculated values
ΔE to the lowest computed polymorph, eV per atom: 0.248
Formation energy (no corrections), meV per atom: 140.3
Total moment, μB per formula unit: 0.00
E, eV/atom: -4.4731

---

## AlSbAuI2 (PBE-GGA)

Data for AlSbAuI2 after structural relaxation.

Lattice parameters (Å, degrees): 5.341 5.341 5.661 90.00 90.00 90.00
Positions (direct):
Sb (0.000, 0.000, 0.500)
Al (0.000, 0.000, 0.000)
Au (0.500, 0.500, 0.500)
I (0.500, 0.000, 0.000)
I (0.000, 0.500, 0.000)

Calculated values
ΔE to the lowest computed polymorph, eV per atom: 0.007
Formation energy (no corrections), meV per atom: 455.2
Total moment, μB per formula unit: 0.00
E, eV/atom: -2.3933

---

## CrSn (PBE-GGA)

Data for CrSn after structural relaxation.

Lattice parameters (Å, degrees): 5.477 5.477 5.477 90.00 90.00 90.00
Each line ends with the local moment (μB).
Positions (direct):
Cr (0.000, 0.500, 0.500)  2.83
Cr (0.000, 0.000, 0.000)  2.83
Cr (0.500, 0.500, 0.000)  2.83
Cr (0.500, 0.000, 0.500)  2.83
Sn (0.500, 0.000, 0.000)  -0.21
Sn (0.500, 0.500, 0.500)  -0.21
Sn (0.000, 0.000, 0.500)  -0.21
Sn (0.000, 0.500, 0.000)  -0.21

Calculated values
Energy of formation from the pure elements, eV per atom: 0.586
Total moment, μB per formula unit: 2.73
E, eV/atom: -6.2274

---

## Tb3Er2Cu2 (PBE-GGA)

Data for Tb3Er2Cu2 after structural relaxation.

Lattice parameters (Å, degrees): 3.624 6.450 8.959 115.10 90.00 106.31
Positions (direct):
Cu (0.828, 0.656, 0.774)
Cu (0.172, 0.344, 0.226)
Er (0.844, 0.689, 0.186)
Er (0.156, 0.311, 0.814)
Tb (0.387, 0.773, 0.557)
Tb (0.613, 0.227, 0.443)
Tb (0.500, 0.000, 0.000)

Calculated values
Energy of formation from the pure elements, eV per atom: -0.117
Total moment, μB per formula unit: 0.00
E, eV/atom: -4.5756

---

## Tb9Pr2Er (PBE-GGA)

Data for Tb9Pr2Er after structural relaxation.

Lattice parameters (Å, degrees): 3.498 11.331 11.331 120.00 90.00 90.00
Positions (direct):
Pr (0.000, 0.333, 0.667)
Pr (0.000, 0.667, 0.333)
Tb (0.500, 0.828, 0.172)
Tb (0.000, 0.000, 0.500)
Tb (0.500, 0.172, 0.344)
Tb (0.500, 0.344, 0.172)
Tb (0.500, 0.172, 0.828)
Tb (0.500, 0.656, 0.828)
Tb (0.000, 0.500, 0.500)
Tb (0.000, 0.500, 0.000)
Tb (0.500, 0.828, 0.656)
Er (0.000, 0.000, 0.000)

Calculated values
ΔE to the lowest computed polymorph, eV per atom: 0.048
Energy of formation from the pure elements, eV per atom: 0.069
Total moment, μB per formula unit: 0.00
E, eV/atom: -4.5805

---

## CoPOs3 (PBE-GGA)

Data for CoPOs3 after structural relaxation.

Lattice parameters (Å, degrees): 4.297 4.297 4.297 90.00 90.00 90.00
Positions (direct):
Os (0.000, 0.500, 0.000)
Os (0.000, 0.000, 0.500)
Os (0.500, 0.000, 0.000)
Co (0.500, 0.500, 0.500)
P (0.000, 0.000, 0.000)

Calculated values
ΔE to the lowest computed polymorph, eV per atom: 0.000
Energy of formation from the pure elements, eV per atom: 1.231
Total moment, μB per formula unit: 0.00
E, eV/atom: -8.0097

---

## RbIn2PdCl8 (PBE-GGA)

Data for RbIn2PdCl8 after structural relaxation.

Lattice parameters (Å, degrees): 6.567 6.567 10.771 72.25 72.25 60.00
Each line ends with the local moment (μB).
Positions (direct):
In (0.247, 0.247, 0.258)  0.00
In (0.753, 0.753, 0.742)  0.00
Cl (0.765, 0.429, 0.675)  0.03
Cl (0.673, 0.673, 0.980)  0.00
Cl (0.131, 0.765, 0.675)  0.03
Cl (0.571, 0.235, 0.325)  0.03
Cl (0.235, 0.869, 0.325)  0.03
Cl (0.869, 0.571, 0.325)  0.03
Cl (0.429, 0.131, 0.675)  0.03
Cl (0.327, 0.327, 0.020)  0.00
Rb (0.000, 0.000, 0.000)  0.00
Pd (0.500, 0.500, 0.500)  0.77

Calculated values
Formation energy (no corrections), meV per atom: -986.1
Total moment, μB per formula unit: 1.00
E, eV/atom: -3.1870

---

## ZnOsBr2 (PBE-GGA)

Data for ZnOsBr2 after structural relaxation.

Lattice parameters (Å, degrees): 7.842 7.842 7.842 156.94 148.18 39.66
Positions (direct):
Br (0.611, 0.611, 0.000)
Br (0.889, 0.889, 0.000)
Os (0.750, 0.250, 0.500)
Zn (0.250, 0.750, 0.500)

Calculated values
ΔE to the lowest computed polymorph, eV per atom: 0.111
Formation energy (no corrections), meV per atom: 295.7
Total moment, μB per formula unit: 0.00
E, eV/atom: -3.6666

---

## Al3GaCu6 (PBE-GGA)

Data for Al3GaCu6 after structural relaxation.

Lattice parameters (Å, degrees): 4.157 7.328 8.860 104.80 90.00 90.00
Positions (direct):
Al (0.750, 0.242, 0.000)
Al (0.750, 0.458, 0.605)
Al (0.250, 0.542, 0.395)
Al (0.250, 0.349, 0.803)
Al (0.750, 0.651, 0.197)
Al (0.250, 0.758, 0.000)
Ga (0.250, 0.942, 0.612)
Ga (0.750, 0.058, 0.388)
Cu (0.750, 0.751, 0.493)
Cu (0.750, 0.356, 0.299)
Cu (0.250, 0.153, 0.203)
Cu (0.250, 0.448, 0.095)
Cu (0.250, 0.053, 0.906)
Cu (0.250, 0.249, 0.507)
Cu (0.750, 0.847, 0.797)
Cu (0.250, 0.644, 0.701)
Cu (0.750, 0.552, 0.905)
Cu (0.750, 0.947, 0.094)
Cu (0.750, 0.150, 0.694)
Cu (0.250, 0.850, 0.306)

Calculated values
Energy of formation from the pure elements, eV per atom: -0.153
Total moment, μB per formula unit: 0.00
E, eV/atom: -4.0366

---

## Ca2ZnCl2O2 (PBE-GGA)

Data for Ca2ZnCl2O2 after structural relaxation.

Lattice parameters (Å, degrees): 4.006 4.006 7.922 104.65 104.65 90.00
Positions (direct):
O (0.500, 0.000, 0.000)
O (0.000, 0.500, 0.000)
Zn (0.000, 0.000, 0.000)
Cl (0.183, 0.183, 0.365)
Cl (0.817, 0.817, 0.635)
Ca (0.396, 0.396, 0.793)
Ca (0.604, 0.604, 0.207)

Calculated values
Formation energy (no corrections), meV per atom: -2193.6
Total moment, μB per formula unit: 0.00
E, eV/atom: -4.8917

---

## Pm8SbAs6 (PBE-GGA)

Data for Pm8SbAs6 after structural relaxation.

Lattice parameters (Å, degrees): 4.346 10.803 10.803 120.00 90.00 90.00
Positions (direct):
As (0.244, 0.522, 0.655)
As (0.756, 0.478, 0.345)
As (0.244, 0.133, 0.478)
As (0.756, 0.867, 0.522)
As (0.244, 0.345, 0.867)
As (0.756, 0.655, 0.133)
Sb (0.500, 0.000, 0.000)
Pm (0.743, 0.337, 0.034)
Pm (0.257, 0.663, 0.966)
Pm (0.251, 0.667, 0.333)
Pm (0.743, 0.697, 0.663)
Pm (0.257, 0.303, 0.337)
Pm (0.257, 0.034, 0.697)
Pm (0.749, 0.333, 0.667)
Pm (0.743, 0.966, 0.303)

Calculated values
Formation energy (no corrections), meV per atom: -1153.9
Total moment, μB per formula unit: 0.00
E, eV/atom: -5.8222